Entry from Alexandria: a relaxed Pm4Ge2Pd crystal (PBE).

Results
For the formation energy, the calculation gives -0.559 eV per atom. Its space group is No. 12. As for the final energy: -5.34 eV per atom. The spin magnetization comes out at 0.0 μB/f.u. As for the density of states at the Fermi level: 6.76 states/eV per cell.

Cell: 7.9455 7.9455 7.3051 Å, 115.64 115.64 31.43°
Sites, in units of the cell vectors:
Pm  0.1279  0.1279  0.4537
Pm  0.3680  0.3680  0.0110
Pm  0.6320  0.6320  0.9890
Pm  0.8721  0.8721  0.5463
Ge  0.2631  0.2631  0.2667
Ge  0.7369  0.7369  0.7333
Pd  0.0000  0.0000  0.0000

=====

Entry from Alexandria: a relaxed La2Pm8Mg crystal (PBE).

Results
For the formation energy, the calculation gives 0.017 eV per atom. Its space group is No. 12. As for the final energy: -4.48 eV per atom. The spin magnetization comes out at 0.0 μB/f.u. As for the density of states at the Fermi level: 16.71 states/eV per cell.

Cell: 9.5974 9.5974 8.1025 Å, 104.82 104.82 31.28°
Sites, in units of the cell vectors:
La  0.2254  0.2254  0.1363
La  0.7746  0.7746  0.8637
Pm  0.0444  0.0444  0.2240
Pm  0.1355  0.1355  0.6770
Pm  0.3204  0.3204  0.5923
Pm  0.4114  0.4114  0.0527
Pm  0.5886  0.5886  0.9473
Pm  0.6796  0.6796  0.4077
Pm  0.8645  0.8645  0.3230
Pm  0.9556  0.9556  0.7760
Mg  0.5000  0.5000  0.5000

=====

Entry from Alexandria: a relaxed TmTiNiPt crystal (PBE).

Results
For the formation energy, the calculation gives -0.636 eV per atom. Its space group is No. 216. As for the final energy: -6.68 eV per atom. The spin magnetization comes out at 0.0 μB/f.u. As for the density of states at the Fermi level: 3.08 states/eV per cell.

Cell: 4.6027 4.6027 4.6027 Å, 60.00 60.00 60.00°
Sites, in units of the cell vectors:
Tm  0.0000  0.0000  0.0000
Ti  0.5000  0.5000  0.5000
Ni  0.7500  0.7500  0.7500
Pt  0.2500  0.2500  0.2500

=====

Entry from Alexandria: a relaxed CaAl2In crystal (PBE).

Results
For the formation energy, the calculation gives -0.024 eV per atom. Its space group is No. 12. As for the final energy: -3.08 eV per atom. The spin magnetization comes out at 0.0 μB/f.u. As for the density of states at the Fermi level: 1.63 states/eV per cell.

Cell: 5.0858 5.0858 5.9541 Å, 100.20 100.20 39.59°
Sites, in units of the cell vectors:
Ca  0.0000  0.0000  0.0000
Al  0.2449  0.2449  0.7020
Al  0.7551  0.7551  0.2980
In  0.5000  0.5000  0.5000

=====

Entry from Alexandria: a relaxed Ir2PdBr4 crystal (PBE).

Results
Its space group is No. 139. Its uncorrected formation energy is 0.683 eV per atom. As for the final energy: -3.55 eV per atom. The spin magnetization comes out at 2.6 μB/f.u. As for the density of states at the Fermi level: 8.14 states/eV per cell.

Cell: 7.3685 7.3685 7.3685 Å, 138.10 138.10 60.74°
Sites, in units of the cell vectors:
Ir  0.0931  0.0931  0.0000
Ir  0.9069  0.9069  0.0000
Pd  0.5000  0.5000  0.0000
Br  0.0000  0.5000  0.5000
Br  0.2860  0.2860  0.0000
Br  0.5000  0.0000  0.5000
Br  0.7140  0.7140  0.0000

=====

Entry from Alexandria: a relaxed UTl2GeTe4 crystal (PBE).

Results
Its space group is No. 10. Its uncorrected formation energy is -0.388 eV per atom. As for the final energy: -4.54 eV per atom. The spin magnetization comes out at 2.0 μB/f.u. As for the density of states at the Fermi level: 5.37 states/eV per cell.

Cell: 7.7330 4.4330 8.3901 Å, 90.00 107.23 90.00°
Sites, in units of the cell vectors:
U  0.0000  0.0000  0.0000
Tl  0.0000  0.5000  0.5000
Tl  0.5000  0.0000  0.5000
Ge  0.5000  0.5000  0.0000
Te  0.2387  0.5000  0.2088
Te  0.2647  0.0000  0.7963
Te  0.7353  0.0000  0.2037
Te  0.7613  0.5000  0.7912